Record 1
# CePaRuAu, optimized geometry, DFT GGA-PBE
data_CePaRuAu
_chemical_formula_sum 'Ce4 Pa4 Ru4 Au4'
_symmetry_space_group_name_H-M 'F -4 3 m'
_symmetry_Int_Tables_number 216
_symmetry_space_group_name_Hall 'F -4 2 3'
_cell_length_a 7.0656
_cell_length_b 7.0656
_cell_length_c 7.0656
_cell_angle_alpha 90.00
_cell_angle_beta 90.00
_cell_angle_gamma 90.00
loop_
_atom_site_label
_atom_site_type_symbol
_atom_site_fract_x
_atom_site_fract_y
_atom_site_fract_z
_atom_site_occupancy
Ce1 Ce 0.0000 0.0000 0.0000 1
Pa1 Pa 0.0000 0.0000 0.5000 1
Ru1 Ru 0.2500 0.2500 0.7500 1
Au1 Au 0.2500 0.2500 0.2500 1
# - Mass density: 12.601 Mg/m³
# - Formation energy: -0.28 eV per atom
# - Energy: -7.280 eV per atom
# - V: 22.045 A^3/atom

=====

Record 2
# GeBiF2, optimized geometry, DFT GGA-PBE
data_GeBiF2
_chemical_formula_sum 'Ge4 Bi4 F8'
_symmetry_space_group_name_H-M 'F m -3 m'
_symmetry_Int_Tables_number 225
_symmetry_space_group_name_Hall '-F 4 2 3'
_cell_length_a 6.4613
_cell_length_b 6.4613
_cell_length_c 6.4613
_cell_angle_alpha 90.00
_cell_angle_beta 90.00
_cell_angle_gamma 90.00
loop_
_atom_site_label
_atom_site_type_symbol
_atom_site_fract_x
_atom_site_fract_y
_atom_site_fract_z
_atom_site_occupancy
Ge1 Ge 0.0000 0.0000 0.0000 1
Bi1 Bi 0.0000 0.0000 0.5000 1
F1 F 0.2500 0.2500 0.2500 1
# - ΔE_f (raw): -0.84 eV/atom
# - Mass density: 7.870 Mg/m³
# - Energy: -3.899 eV per atom
# - V: 16.859 A^3/atom
# - Energy above the lowest structure with this stoichiometry: 391 meV/atom

=====

Record 3
# PmTmGaHg, optimized geometry, DFT GGA-PBE
data_PmTmGaHg
_chemical_formula_sum 'Pm4 Tm4 Ga4 Hg4'
_symmetry_space_group_name_H-M 'F -4 3 m'
_symmetry_Int_Tables_number 216
_symmetry_space_group_name_Hall 'F -4 2 3'
_cell_length_a 7.3764
_cell_length_b 7.3764
_cell_length_c 7.3764
_cell_angle_alpha 90.00
_cell_angle_beta 90.00
_cell_angle_gamma 90.00
loop_
_atom_site_label
_atom_site_type_symbol
_atom_site_fract_x
_atom_site_fract_y
_atom_site_fract_z
_atom_site_occupancy
Pm1 Pm 0.0000 0.0000 0.0000 1
Tm1 Tm 0.0000 0.0000 0.5000 1
Ga1 Ga 0.2500 0.2500 0.2500 1
Hg1 Hg 0.2500 0.2500 0.7500 1
# - Mass density: 9.669 Mg/m³
# - Formation energy: -0.50 eV per atom
# - Energy: -3.633 eV per atom
# - V: 25.085 A^3/atom
# - Energy above the lowest structure with this stoichiometry: 32 meV/atom

=====

Record 4
# Sr2AlSn, optimized geometry, DFT GGA-PBE
data_Sr2AlSn
_chemical_formula_sum 'Sr4 Al2 Sn2'
_symmetry_space_group_name_H-M 'P 1 21/m 1'
_symmetry_Int_Tables_number 11
_cell_length_a 6.5906
_cell_length_b 4.5400
_cell_length_c 9.5923
_cell_angle_alpha 90.00
_cell_angle_beta 107.52
_cell_angle_gamma 90.00
loop_
_symmetry_equiv_pos_as_xyz
'x,y,z'
'-x,-y,-z'
'-x,y+1/2,-z'
'x,-y+1/2,z'
loop_
_atom_site_label
_atom_site_type_symbol
_atom_site_fract_x
_atom_site_fract_y
_atom_site_fract_z
_atom_site_occupancy
Sr1 Sr 0.2089 0.2500 0.4281 1
Sr2 Sr 0.2865 0.7500 0.0690 1
Al1 Al 0.1471 0.2500 0.7845 1
Sn1 Sn 0.3530 0.7500 0.7158 1
# - Mass density: 3.894 Mg/m³
# - Formation energy: -0.46 eV per atom
# - Energy: -3.240 eV per atom
# - V: 34.213 A^3/atom

=====

Record 5
# SrLaPt2, optimized geometry, DFT GGA-PBE
data_SrLaPt2
_chemical_formula_sum 'Sr1 La1 Pt2'
_symmetry_space_group_name_H-M 'P 1 2/m 1'
_symmetry_Int_Tables_number 10
_cell_length_a 3.7058
_cell_length_b 3.6553
_cell_length_c 7.3885
_cell_angle_alpha 90.00
_cell_angle_beta 90.07
_cell_angle_gamma 90.00
loop_
_symmetry_equiv_pos_as_xyz
'x,y,z'
'-x,-y,-z'
'-x,y,-z'
'x,-y,z'
loop_
_atom_site_label
_atom_site_type_symbol
_atom_site_fract_x
_atom_site_fract_y
_atom_site_fract_z
_atom_site_occupancy
Sr1 Sr 0.0000 0.0000 0.0000 1
La1 La 0.0000 0.0000 0.5000 1
Pt1 Pt 0.4992 0.5000 0.2782 1
# - Mass density: 10.232 Mg/m³
# - Formation energy: -0.99 eV per atom
# - Energy: -5.666 eV per atom
# - V: 25.020 A^3/atom
# - Energy above the lowest structure with this stoichiometry: 14 meV/atom

=====

Record 6
# Th8Co3PtSe4, optimized geometry, DFT GGA-PBE
data_Th8Co3PtSe4
_chemical_formula_sum 'Th16 Co6 Pt2 Se8'
_symmetry_space_group_name_H-M 'C 1 2/m 1'
_symmetry_Int_Tables_number 12
_cell_length_a 14.0904
_cell_length_b 8.1108
_cell_length_c 8.6668
_cell_angle_alpha 90.00
_cell_angle_beta 122.77
_cell_angle_gamma 90.00
loop_
_symmetry_equiv_pos_as_xyz
'x,y,z'
'-x,-y,-z'
'-x,y,-z'
'x,-y,z'
'x+1/2,y+1/2,z'
'-x+1/2,-y+1/2,-z'
'-x+1/2,y+1/2,-z'
'x+1/2,-y+1/2,z'
loop_
_atom_site_label
_atom_site_type_symbol
_atom_site_fract_x
_atom_site_fract_y
_atom_site_fract_z
_atom_site_occupancy
Th1 Th 0.0144 0.2410 0.2853 1
Th2 Th 0.2373 0.0000 0.7110 1
Th3 Th 0.2442 0.5000 0.7145 1
Co1 Co 0.0000 0.0000 0.5000 1
Co2 Co 0.2500 0.2500 0.5000 1
Pt1 Pt 0.0000 0.5000 0.5000 1
Se1 Se 0.0000 0.0000 0.0000 1
Se2 Se 0.0000 0.5000 0.0000 1
Se3 Se 0.2500 0.2500 0.0000 1
# - ΔE_f (raw): -1.03 eV/atom
# - Mass density: 10.144 Mg/m³
# - Energy: -7.326 eV per atom
# - V: 26.028 A^3/atom